[1]
Density functional theory data (PBE) for ScInGeAu after structural relaxation.

Properties
Fermi-level density of states	8.231	states/eV/cell
energy of formation	-0.324	eV/atom

Geometry as CIF:
```
data_ScInGeAu
_symmetry_space_group_name_H-M 'F -4 3 m'
_symmetry_Int_Tables_number 216
_symmetry_space_group_name_Hall 'F -4 2 3'
_cell_length_a 6.867
_cell_length_b 6.867
_cell_length_c 6.867
_cell_angle_alpha 90.00
_cell_angle_beta 90.00
_cell_angle_gamma 90.00
loop_
_atom_site_label
_atom_site_fract_x
_atom_site_fract_y
_atom_site_fract_z
Sc1 0.000 0.000 0.000
In1 0.000 0.000 0.500
Ge1 0.250 0.250 0.250
Au1 0.250 0.250 0.750
```

***

[2]
Density functional theory data (PBE) for NaP2AuSe8 after structural relaxation.

Properties
Fermi-level density of states	17.518	states/eV/cell
raw formation energy	-0.049	eV/atom

Geometry as CIF:
```
data_NaP2AuSe8
_symmetry_space_group_name_H-M 'R -3'
_symmetry_Int_Tables_number 148
_symmetry_space_group_name_Hall '-R 3'
_cell_length_a 5.8381
_cell_length_b 5.8381
_cell_length_c 33.7563
_cell_angle_alpha 90.00
_cell_angle_beta 90.00
_cell_angle_gamma 120.00
loop_
_atom_site_label
_atom_site_fract_x
_atom_site_fract_y
_atom_site_fract_z
Na1 0.0000 0.0000 0.0000
P1 0.0000 0.0000 0.2449
Au1 0.0000 0.0000 0.5000
Se1 0.0000 0.0000 0.3088
Se2 0.0144 0.7169 0.1146
```

***

[3]
Density functional theory data (PBE) for Dy2Al2InPt5 after structural relaxation.

Properties
Fermi-level density of states	7.381	states/eV/cell
energy of formation	-0.962	eV/atom

Geometry as CIF:
```
data_Dy2Al2InPt5
_symmetry_space_group_name_H-M 'P 4/m b m'
_symmetry_Int_Tables_number 127
_symmetry_space_group_name_Hall '-P 4 2ab'
_cell_length_a 9.889
_cell_length_b 9.889
_cell_length_c 3.740
_cell_angle_alpha 90.00
_cell_angle_beta 90.00
_cell_angle_gamma 90.00
loop_
_atom_site_label
_atom_site_fract_x
_atom_site_fract_y
_atom_site_fract_z
Dy1 0.178 0.322 0.000
Al1 0.120 0.620 0.000
In1 0.000 0.000 0.000
Pt1 0.000 0.500 0.500
Pt2 0.067 0.787 0.500
```

***

Table of spin magnetization (μB per formula unit), in record order: 0.0 0.0 0.0